# 1
Compound: NaGePb
Source: Alexandria
Functional: PBE
Structure: relaxed

Values from the calculation:
For the total energy, the calculation gives -3.2867 eV/atom. The space group is No. 8. For the density of states at the Fermi level, the calculation gives 0.38 states/eV/atom.

a b c (Å): 4.0150 4.0057 12.6484
angles (deg): 80.48 80.82 59.90
Fractional positions:
Na  0.4512  0.0748  0.7244
Na  0.5884  0.2074  0.3170
Ge  0.8404  0.4626  0.5580
Ge  0.1993  0.8196  0.4830
Pb  0.3263  0.9419  0.1060
Pb  0.0482  0.6729  0.9326

# 2
Compound: SrSc2Be
Source: Alexandria
Functional: PBE
Structure: relaxed

Values from the calculation:
For the total energy, the calculation gives -4.0777 eV/atom. The space group is No. 10. For the density of states at the Fermi level, the calculation gives 1.08 states/eV/atom.

a b c (Å): 4.5199 3.5746 6.6562
angles (deg): 73.67 90.00 90.00
Fractional positions:
Sc  0.0000  0.9220  0.9383
Sc  0.0000  0.5780  0.5617
Sr  0.5000  0.2500  0.2500
Be  0.5000  0.7500  0.7500

# 3
Compound: Tl2BiH2
Source: Alexandria
Functional: PBE
Structure: relaxed

Values from the calculation:
For the total energy, the calculation gives -2.6990 eV/atom. The space group is No. 139. For the density of states at the Fermi level, the calculation gives 0.42 states/eV/atom.

a b c (Å): 3.7063 3.7063 7.9300
angles (deg): 76.49 76.49 90.00
Fractional positions:
H  0.7500  0.2500  0.5000
H  0.2500  0.7500  0.5000
Tl  0.3417  0.3417  0.3167
Tl  0.6583  0.6583  0.6833
Bi  0.0000  0.0000  0.0000